{
  "formula": "Hf2Al5Fe2Pd",
  "functional": "PBE",
  "state": "relaxed",
  "cell": [[8.828, 0.000, 0.000], [0.000, 8.828, 0.000], [0.000, 0.000, 3.989]],
  "species": ["Hf", "Hf", "Hf", "Hf", "Al", "Al", "Al", "Al", "Al", "Al", "Al", "Al", "Al", "Al", "Fe", "Fe", "Fe", "Fe", "Pd", "Pd"],
  "frac_coords": [[0.174, 0.326, 0.000], [0.326, 0.826, 0.000], [0.674, 0.174, 0.000], [0.826, 0.674, 0.000], [0.000, 0.500, 0.500], [0.069, 0.790, 0.500], [0.210, 0.069, 0.500], [0.290, 0.569, 0.500], [0.431, 0.290, 0.500], [0.500, 0.000, 0.500], [0.569, 0.710, 0.500], [0.710, 0.431, 0.500], [0.790, 0.931, 0.500], [0.931, 0.210, 0.500], [0.117, 0.617, 0.000], [0.383, 0.117, 0.000], [0.617, 0.883, 0.000], [0.883, 0.383, 0.000], [0.000, 0.000, 0.000], [0.500, 0.500, 0.000]],
  "e_form_mev_per_atom": -437,
  "crystal_system": "tetragonal",
  "dos_at_fermi_per_ev_cell": 16.21,
  "spacegroup": "P4/mbm, No. 127"
}